1.
# PBE-GGA RbHfAu2, relaxed
data_RbHfAu2
_cell_length_a 5.140
_cell_length_b 5.140
_cell_length_c 5.140
_cell_angle_alpha 60.00
_cell_angle_beta 60.00
_cell_angle_gamma 60.00
_space_group_name_H-M_alt 'P 1'
_space_group_IT_number 1
loop_
_space_group_symop_operation_xyz
'x,y,z'
loop_
_atom_site_label
_atom_site_type_symbol
_atom_site_fract_x
_atom_site_fract_y
_atom_site_fract_z
_atom_site_occupancy
Rb1 Rb 0.000 0.000 0.000 1
Hf1 Hf 0.500 0.500 0.500 1
Au1 Au 0.250 0.250 0.250 1
Au2 Au 0.750 0.750 0.750 1
# * magnetic moment: 0.0 μB per cell
# * formation energy from the elements: 352 meV per atom
# * SG: No. 225
# * energy relative to the lowest polymorph listed for this composition: 612 meV per atom
# * E: -16.1 eV/cell

2.
# PBE-GGA TaMo, relaxed
data_TaMo
_cell_length_a 3.219
_cell_length_b 3.219
_cell_length_c 13.073
_cell_angle_alpha 90.00
_cell_angle_beta 90.00
_cell_angle_gamma 90.00
_space_group_name_H-M_alt 'P 1'
_space_group_IT_number 1
loop_
_space_group_symop_operation_xyz
'x,y,z'
loop_
_atom_site_label
_atom_site_type_symbol
_atom_site_fract_x
_atom_site_fract_y
_atom_site_fract_z
_atom_site_occupancy
Ta1 Ta 0.250 0.250 0.065 1
Ta2 Ta 0.250 0.250 0.803 1
Ta3 Ta 0.750 0.750 0.197 1
Ta4 Ta 0.750 0.750 0.935 1
Mo1 Mo 0.250 0.250 0.322 1
Mo2 Mo 0.250 0.250 0.561 1
Mo3 Mo 0.750 0.750 0.439 1
Mo4 Mo 0.750 0.750 0.678 1
# * magnetic moment: 0.0 μB per cell
# * formation energy from the elements: -83 meV per atom
# * SG: No. 129
# * E: -91.4 eV/cell

3.
# PBE-GGA Er4InBi2, relaxed
data_Er4InBi2
_cell_length_a 8.359
_cell_length_b 8.359
_cell_length_c 8.359
_cell_angle_alpha 108.95
_cell_angle_beta 108.95
_cell_angle_gamma 110.53
_space_group_name_H-M_alt 'P 1'
_space_group_IT_number 1
loop_
_space_group_symop_operation_xyz
'x,y,z'
loop_
_atom_site_label
_atom_site_type_symbol
_atom_site_fract_x
_atom_site_fract_y
_atom_site_fract_z
_atom_site_occupancy
Er1 Er 0.183 0.243 0.559 1
Er2 Er 0.183 0.624 0.941 1
Er3 Er 0.243 0.183 0.059 1
Er4 Er 0.376 0.817 0.559 1
Er5 Er 0.624 0.183 0.441 1
Er6 Er 0.757 0.817 0.941 1
Er7 Er 0.817 0.376 0.059 1
Er8 Er 0.817 0.757 0.441 1
In1 In 0.125 0.875 0.250 1
In2 In 0.875 0.125 0.750 1
Bi1 Bi 0.000 0.500 0.500 1
Bi2 Bi 0.500 0.000 0.000 1
Bi3 Bi 0.500 0.500 0.000 1
Bi4 Bi 0.500 0.500 0.500 1
# * magnetic moment: 0.0 μB per cell
# * formation energy from the elements: -410 meV per atom
# * SG: No. 141
# * E: -63.2 eV/cell

4.
# PBE-GGA Ca5SiN4F2, relaxed
data_Ca5SiN4F2
_cell_length_a 6.949
_cell_length_b 5.432
_cell_length_c 5.432
_cell_angle_alpha 116.77
_cell_angle_beta 90.00
_cell_angle_gamma 90.00
_space_group_name_H-M_alt 'P 1'
_space_group_IT_number 1
loop_
_space_group_symop_operation_xyz
'x,y,z'
loop_
_atom_site_label
_atom_site_type_symbol
_atom_site_fract_x
_atom_site_fract_y
_atom_site_fract_z
_atom_site_occupancy
Ca1 Ca 0.000 0.000 0.000 1
Ca2 Ca 0.285 0.296 0.666 1
Ca3 Ca 0.285 0.666 0.296 1
Ca4 Ca 0.715 0.296 0.666 1
Ca5 Ca 0.715 0.666 0.296 1
Si1 Si 0.500 0.995 0.995 1
N1 N 0.289 0.186 0.186 1
N2 N 0.500 0.652 0.961 1
N3 N 0.500 0.961 0.652 1
N4 N 0.711 0.186 0.186 1
F1 F 0.000 0.546 0.936 1
F2 F 0.000 0.936 0.546 1
# * magnetic moment: 0.0 μB per cell
# * formation energy from raw total energies: -160 kJ/mol of atoms
# * SG: No. 38
# * E: -72.3 eV/cell

5.
# PBE-GGA GaTc, relaxed
data_GaTc
_cell_length_a 7.904
_cell_length_b 7.904
_cell_length_c 4.280
_cell_angle_alpha 90.00
_cell_angle_beta 90.00
_cell_angle_gamma 120.00
_space_group_name_H-M_alt 'P 1'
_space_group_IT_number 1
loop_
_space_group_symop_operation_xyz
'x,y,z'
loop_
_atom_site_label
_atom_site_type_symbol
_atom_site_fract_x
_atom_site_fract_y
_atom_site_fract_z
_atom_site_occupancy
Ga1 Ga 0.207 0.413 0.250 1
Ga2 Ga 0.207 0.793 0.250 1
Ga3 Ga 0.413 0.207 0.750 1
Ga4 Ga 0.587 0.793 0.250 1
Ga5 Ga 0.793 0.207 0.750 1
Ga6 Ga 0.793 0.587 0.750 1
Tc1 Tc 0.109 0.554 0.750 1
Tc2 Tc 0.446 0.554 0.750 1
Tc3 Tc 0.446 0.891 0.750 1
Tc4 Tc 0.554 0.109 0.250 1
Tc5 Tc 0.554 0.446 0.250 1
Tc6 Tc 0.891 0.446 0.250 1
# * magnetic moment: 0.0 μB per cell
# * formation energy from the elements: 18 meV per atom
# * SG: No. 194
# * energy relative to the lowest polymorph listed for this composition: 193 meV per atom
# * E: -80.1 eV/cell

6.
# PBE-GGA CeDy2Au, relaxed
data_CeDy2Au
_cell_length_a 4.877
_cell_length_b 4.877
_cell_length_c 4.416
_cell_angle_alpha 90.00
_cell_angle_beta 90.00
_cell_angle_gamma 90.00
_space_group_name_H-M_alt 'P 1'
_space_group_IT_number 1
loop_
_space_group_symop_operation_xyz
'x,y,z'
loop_
_atom_site_label
_atom_site_type_symbol
_atom_site_fract_x
_atom_site_fract_y
_atom_site_fract_z
_atom_site_occupancy
Ce1 Ce 0.000 0.000 0.000 1
Dy1 Dy 0.000 0.500 0.500 1
Dy2 Dy 0.500 0.000 0.500 1
Au1 Au 0.500 0.500 0.000 1
# * magnetic moment: 1.9 μB per cell
# * formation energy from the elements: -189 meV per atom
# * SG: No. 123
# * energy relative to the lowest polymorph listed for this composition: 177 meV per atom
# * E: -19.2 eV/cell